Entry 1:
## ThAl2Re2B (PBE-GGA)

Data for a relaxed ThAl2Re2B crystal.

a b c (Å): 4.2859 4.2859 5.5676
angles (deg): 90.00 90.00 90.00
Last column: nearest neighbours and their distance in Å.
Space group P4/mmm (No. 123)
Inequivalent atoms, fractional coordinates:
Th 0.0000 0.0000 0.0000 (multiplicity 1)  2 B 2.78
Al 0.5000 0.5000 0.2346 (multiplicity 2)  4 Re 2.60, 1 Al 2.61
Re 0.0000 0.5000 0.5000 (multiplicity 2)  2 B 2.14
B 0.0000 0.0000 0.5000 (multiplicity 1)  4 Re 2.14

Results
The formation energy is -417 meV/atom.


Entry 2:
## Ba2TbCuO5 (PBE-GGA)

Data for a relaxed Ba2TbCuO5 crystal.

a b c (Å): 3.6433 14.8416 11.9224
angles (deg): 90.00 90.00 90.00
Last column: nearest neighbours and their distance in Å.
Space group Cmc2_1 (No. 36)
Inequivalent atoms, fractional coordinates:
Ba 0.0000 0.1059 0.0000 (multiplicity 4)  5 O 2.63-2.83
Ba 0.0000 0.1353 0.6724 (multiplicity 4)  7 O 2.70-2.96
Tb 0.0000 0.2016 0.3759 (multiplicity 4)  5 O 2.17-2.35
Cu 0.0000 0.4307 0.7266 (multiplicity 4)  4 O 1.85-1.90
O 0.0000 0.0576 0.2703 (multiplicity 4)  2 Cu 1.90
O 0.0000 0.2899 0.9997 (multiplicity 4)  2 Tb 2.35
O 0.0000 0.3069 0.7553 (multiplicity 4)  1 Cu 1.87
O 0.0000 0.3463 0.3524 (multiplicity 4)  1 Tb 2.17
O 0.0000 0.4889 0.1082 (multiplicity 4)  1 Cu 1.85

Results
The uncorrected formation energy is -2.2033 eV/atom.


Entry 3:
## HoErAlAu (PBE-GGA)

Data for a relaxed HoErAlAu crystal.

a b c (Å): 3.5344 3.5344 7.4011
angles (deg): 90.00 90.00 90.00
Last column: nearest neighbours and their distance in Å.
Space group P4mm (No. 99)
Inequivalent atoms, fractional coordinates:
Ho 0.0000 0.0000 0.0000 (multiplicity 1)  4 Au 3.10, 4 Al 3.15
Er 0.0000 0.0000 0.4859 (multiplicity 1)  4 Au 3.06, 4 Al 3.14
Al 0.5000 0.5000 0.7418 (multiplicity 1)  4 Er 3.14, 4 Ho 3.15
Au 0.5000 0.5000 0.2475 (multiplicity 1)  4 Er 3.06, 4 Ho 3.10

Results
The formation energy is -628 meV/atom. The excess energy over the best structure of this formula in the dataset is 0.0 meV per atom.


| no. | M_tot (Bohr magnetons per cell) |
| --- | --- |
| 1 | 0.0 |
| 2 | 0.0 |
| 3 | 0.0 |